First-principles (PBE) data for a relaxed structure of NaIn2Pb4, as listed in Alexandria via LeMat-Bulk.

Electronic total energy   -3.10 eV/atom
Size of the total moment   0.00 μB per atom
ΔE to the lowest computed polymorph   0 meV per atom
E_form   -0.014 eV/atom
Mass density   8.532 Mg/m³

a = 11.051 Å, b = 11.051 Å, c = 3.455 Å
α = 90.00°, β = 90.00°, γ = 150.07°
Fractional coordinates of all 7 atoms:
Na 0.000 0.000 0.000
In 0.430 0.570 0.500
In 0.570 0.430 0.500
Pb 0.146 0.854 0.500
Pb 0.293 0.707 0.000
Pb 0.707 0.293 0.000
Pb 0.854 0.146 0.500


First-principles (PBE) data for a relaxed structure of Na4InPb, as listed in Alexandria via LeMat-Bulk.

Electronic total energy   -2.00 eV/atom
Size of the total moment   0.00 μB per atom
ΔE to the lowest computed polymorph   72 meV per atom
E_form   -0.044 eV/atom
Mass density   3.220 Mg/m³

a = 11.430 Å, b = 5.735 Å, c = 6.513 Å
α = 90.00°, β = 90.00°, γ = 90.00°
Fractional coordinates of all 12 atoms:
Na 0.000 0.008 0.000
Na 0.000 0.989 0.501
Na 0.250 0.412 0.499
Na 0.250 0.588 0.999
Na 0.500 0.011 0.001
Na 0.500 0.992 0.500
Na 0.750 0.412 0.499
Na 0.750 0.588 0.999
In 0.000 0.499 0.250
In 0.500 0.501 0.750
Pb 0.000 0.498 0.750
Pb 0.500 0.502 0.250


First-principles (PBE) data for a relaxed structure of NaIn2Pb6, as listed in Alexandria via LeMat-Bulk.

Electronic total energy   -2.93 eV/atom
Size of the total moment   0.00 μB per atom
ΔE to the lowest computed polymorph   277 meV per atom
E_form   0.299 eV/atom
Mass density   6.984 Mg/m³

a = 6.384 Å, b = 6.384 Å, c = 17.454 Å
α = 90.00°, β = 90.00°, γ = 90.00°
Fractional coordinates of all 18 atoms:
Na 0.000 0.000 0.000
Na 0.500 0.500 0.500
In 0.000 0.000 0.355
In 0.000 0.000 0.645
In 0.500 0.500 0.145
In 0.500 0.500 0.855
Pb 0.173 0.173 0.500
Pb 0.186 0.186 0.207
Pb 0.186 0.186 0.793
Pb 0.314 0.686 0.293
Pb 0.314 0.686 0.707
Pb 0.327 0.673 0.000
Pb 0.673 0.327 0.000
Pb 0.686 0.314 0.293
Pb 0.686 0.314 0.707
Pb 0.814 0.814 0.207
Pb 0.814 0.814 0.793
Pb 0.827 0.827 0.500


First-principles (PBE) data for a relaxed structure of NaIn3Pb6, as listed in Alexandria via LeMat-Bulk.

Electronic total energy   -3.15 eV/atom
Size of the total moment   0.00 μB per atom
ΔE to the lowest computed polymorph   35 meV per atom
E_form   0.029 eV/atom
Mass density   8.540 Mg/m³

a = 7.439 Å, b = 9.045 Å, c = 9.311 Å
α = 90.00°, β = 91.25°, γ = 90.00°
Fractional coordinates of all 20 atoms:
Na 0.000 0.000 0.000
Na 0.000 0.500 0.500
In 0.247 0.070 0.745
In 0.247 0.430 0.245
In 0.500 0.000 0.500
In 0.500 0.500 0.000
In 0.753 0.570 0.755
In 0.753 0.930 0.255
Pb 0.105 0.112 0.378
Pb 0.105 0.388 0.878
Pb 0.287 0.694 0.711
Pb 0.287 0.806 0.211
Pb 0.415 0.148 0.078
Pb 0.415 0.352 0.578
Pb 0.585 0.648 0.422
Pb 0.585 0.852 0.922
Pb 0.713 0.194 0.789
Pb 0.713 0.306 0.289
Pb 0.895 0.612 0.122
Pb 0.895 0.888 0.622


First-principles (PBE) data for a relaxed structure of Na3In2Pb5, as listed in Alexandria via LeMat-Bulk.

Electronic total energy   -2.78 eV/atom
Size of the total moment   0.00 μB per atom
ΔE to the lowest computed polymorph   0 meV per atom
E_form   0.015 eV/atom
Mass density   6.673 Mg/m³

a = 9.677 Å, b = 9.677 Å, c = 9.677 Å
α = 119.74°, β = 95.09°, γ = 114.53°
Fractional coordinates of all 20 atoms:
Na 0.125 0.702 0.827
Na 0.250 0.250 0.000
Na 0.375 0.202 0.578
Na 0.625 0.798 0.422
Na 0.750 0.750 0.000
Na 0.875 0.298 0.173
In 0.125 0.034 0.159
In 0.375 0.534 0.910
In 0.625 0.466 0.090
In 0.875 0.966 0.841
Pb 0.001 0.750 0.251
Pb 0.135 0.349 0.484
Pb 0.250 0.750 0.500
Pb 0.365 0.849 0.214
Pb 0.499 0.750 0.749
Pb 0.501 0.250 0.251
Pb 0.635 0.151 0.786
Pb 0.750 0.250 0.500
Pb 0.865 0.651 0.516
Pb 0.999 0.250 0.749


First-principles (PBE) data for a relaxed structure of Na3In2Pb4, as listed in Alexandria via LeMat-Bulk.

Electronic total energy   -2.81 eV/atom
Size of the total moment   0.00 μB per atom
ΔE to the lowest computed polymorph   0 meV per atom
E_form   -0.114 eV/atom
Mass density   7.173 Mg/m³

a = 6.440 Å, b = 8.871 Å, c = 9.793 Å
α = 103.34°, β = 100.08°, γ = 100.20°
Fractional coordinates of all 18 atoms:
Na 0.077 0.334 0.412
Na 0.243 0.006 0.243
Na 0.409 0.670 0.079
Na 0.591 0.330 0.921
Na 0.757 0.994 0.757
Na 0.923 0.666 0.588
In 0.026 0.425 0.791
In 0.186 0.107 0.631
In 0.814 0.893 0.369
In 0.974 0.575 0.209
Pb 0.129 0.249 0.032
Pb 0.294 0.914 0.864
Pb 0.373 0.777 0.466
Pb 0.458 0.562 0.697
Pb 0.542 0.438 0.303
Pb 0.627 0.223 0.534
Pb 0.706 0.086 0.136
Pb 0.871 0.751 0.968


First-principles (PBE) data for a relaxed structure of NaIn3Pb7, as listed in Alexandria via LeMat-Bulk.

Electronic total energy   -3.20 eV/atom
Size of the total moment   0.00 μB per atom
E_form   0.029 eV/atom
Mass density   8.679 Mg/m³

a = 7.470 Å, b = 7.470 Å, c = 6.283 Å
α = 94.86°, β = 94.86°, γ = 87.48°
Fractional coordinates of all 11 atoms:
Na 0.000 0.000 0.000
In 0.317 0.683 0.500
In 0.500 0.500 0.000
In 0.683 0.317 0.500
Pb 0.000 0.000 0.500
Pb 0.088 0.423 0.769
Pb 0.270 0.270 0.283
Pb 0.423 0.088 0.769
Pb 0.577 0.912 0.231
Pb 0.730 0.730 0.717
Pb 0.912 0.577 0.231


First-principles (PBE) data for a relaxed structure of Na3InPb6, as listed in Alexandria via LeMat-Bulk.

Electronic total energy   -2.99 eV/atom
Size of the total moment   0.00 μB per atom
E_form   -0.093 eV/atom
Mass density   8.037 Mg/m³

a = 9.251 Å, b = 5.590 Å, c = 12.040 Å
α = 90.00°, β = 108.74°, γ = 90.00°
Fractional coordinates of all 20 atoms:
Na 0.091 0.250 0.233
Na 0.299 0.250 0.029
Na 0.301 0.750 0.368
Na 0.699 0.250 0.632
Na 0.701 0.750 0.971
Na 0.909 0.750 0.767
In 0.102 0.750 0.564
In 0.898 0.250 0.436
Pb 0.094 0.750 0.060
Pb 0.101 0.250 0.727
Pb 0.297 0.250 0.537
Pb 0.303 0.750 0.862
Pb 0.492 0.750 0.166
Pb 0.500 0.250 0.334
Pb 0.500 0.750 0.666
Pb 0.508 0.250 0.834
Pb 0.697 0.250 0.138
Pb 0.703 0.750 0.463
Pb 0.899 0.750 0.273
Pb 0.906 0.250 0.940


First-principles (PBE) data for a relaxed structure of Na3InPb, as listed in Alexandria via LeMat-Bulk.

Electronic total energy   -2.20 eV/atom
Size of the total moment   0.00 μB per atom
ΔE to the lowest computed polymorph   0 meV per atom
E_form   -0.122 eV/atom
Mass density   4.575 Mg/m³

a = 7.261 Å, b = 4.854 Å, c = 8.067 Å
α = 90.00°, β = 93.55°, γ = 90.00°
Fractional coordinates of all 10 atoms:
Na 0.051 0.250 0.339
Na 0.254 0.250 0.751
Na 0.443 0.250 0.157
Na 0.557 0.750 0.843
Na 0.746 0.750 0.249
Na 0.949 0.750 0.661
In 0.143 0.750 0.038
In 0.857 0.250 0.962
Pb 0.349 0.750 0.453
Pb 0.651 0.250 0.547


First-principles (PBE) data for a relaxed structure of Na4In6Pb, as listed in Alexandria via LeMat-Bulk.

Electronic total energy   -2.37 eV/atom
Size of the total moment   0.00 μB per atom
E_form   -0.056 eV/atom
Mass density   4.875 Mg/m³

a = 8.665 Å, b = 8.665 Å, c = 8.665 Å
α = 133.49°, β = 133.49°, γ = 67.89°
Fractional coordinates of all 11 atoms:
Na 0.034 0.614 0.000
Na 0.386 0.386 0.420
Na 0.614 0.034 0.000
Na 0.966 0.966 0.580
In 0.000 0.500 0.500
In 0.236 0.236 0.676
In 0.439 0.764 0.000
In 0.500 0.000 0.500
In 0.561 0.561 0.324
In 0.764 0.439 0.000
Pb 0.000 0.000 0.000


First-principles (PBE) data for a relaxed structure of NaIn3Pb8, as listed in Alexandria via LeMat-Bulk.

Electronic total energy   -3.19 eV/atom
Size of the total moment   0.00 μB per atom
E_form   0.074 eV/atom
Mass density   8.343 Mg/m³

a = 7.398 Å, b = 7.398 Å, c = 9.035 Å
α = 114.21°, β = 114.21°, γ = 89.87°
Fractional coordinates of all 12 atoms:
Na 0.000 0.000 0.000
In 0.250 0.750 0.499
In 0.500 0.500 0.999
In 0.750 0.250 0.499
Pb 0.128 0.619 0.746
Pb 0.129 0.129 0.747
Pb 0.381 0.381 0.252
Pb 0.382 0.872 0.253
Pb 0.619 0.128 0.746
Pb 0.619 0.619 0.747
Pb 0.871 0.871 0.252
Pb 0.872 0.382 0.253


First-principles (PBE) data for a relaxed structure of Na3In2Pb2, as listed in Alexandria via LeMat-Bulk.

Electronic total energy   -2.52 eV/atom
Size of the total moment   0.00 μB per atom
E_form   -0.112 eV/atom
Mass density   5.828 Mg/m³

a = 11.205 Å, b = 11.205 Å, c = 11.205 Å
α = 160.94°, β = 153.74°, γ = 32.66°
Fractional coordinates of all 7 atoms:
Na 0.000 0.000 0.000
Na 0.298 0.798 0.500
Na 0.702 0.202 0.500
In 0.432 0.432 0.000
In 0.568 0.568 0.000
Pb 0.145 0.645 0.500
Pb 0.855 0.355 0.500


Question: Number 8 is which compound?
Answer: Na3InPb6


Question: Look up the E_form of the first one.
Answer: -0.014 eV/atom


Question: What is the formula in the fourth record?
Answer: NaIn3Pb6


Question: Which value of size of the total moment does entry 7 give?
Answer: 0.00 μB per atom